{
  "formula": "CoRuBr2",
  "functional": "PBEsol",
  "state": "relaxed",
  "formation_energy_uncorrected_ev_per_fu": 0.85,
  "final_energy_ev_per_atom": -5.20,
  "lattice_angstrom": [[3.6053, -0.0126, 0.0385], [1.7368, 3.1594, 0.0385], [0.9462, 0.5574, 7.1771]],
  "species": ["Co", "Br", "Br", "Ru"],
  "fractional_positions": [[0.4730, 0.4730, 0.6926], [0.9617, 0.9617, 0.9011], [0.2201, 0.2201, 0.3483], [0.8452, 0.8452, 0.5581]]
}



{
  "formula": "CoS2Br",
  "functional": "PBEsol",
  "state": "relaxed",
  "formation_energy_uncorrected_ev_per_fu": -1.25,
  "final_energy_ev_per_atom": -4.91,
  "lattice_angstrom": [[3.4319, 0.0000, 0.0000], [1.7160, 2.9722, 0.0000], [1.7160, 0.9907, 6.9714]],
  "species": ["S", "S", "Co", "Br"],
  "fractional_positions": [[0.1166, 0.1166, 0.6501], [0.8834, 0.8834, 0.3499], [0.5000, 0.5000, 0.5000], [0.0000, 0.0000, 0.0000]]
}



{
  "formula": "CoSeSBr2",
  "functional": "PBEsol",
  "state": "relaxed",
  "formation_energy_uncorrected_ev_per_fu": 2.43,
  "final_energy_ev_per_atom": -3.46,
  "lattice_angstrom": [[-2.6398, 3.3803, 1.5267], [-1.6676, 0.6605, -4.3459], [-3.4483, -3.0792, 0.8552]],
  "species": ["Br", "Br", "Co", "S", "Se"],
  "fractional_positions": [[0.0000, 0.0000, 0.5000], [0.0000, 0.5000, 0.0000], [0.0000, 0.0000, 0.0000], [0.5000, 0.5000, 0.5000], [0.5000, 0.0000, 0.0000]]
}